1.
Computed, not measured: a geometry-optimized KNiOs2 structure at the PBE level of DFT.

Cell: 8.6293 2.6828 7.0053 Å, 90.00 94.69 90.00°
Space group Cm (No. 8)
Symmetry-distinct sites (fractional):
K: 0.0000 0.0000 0.0000 x2
Ni: 0.2349 0.0000 0.6638 x2
Os: 0.0122 0.5000 0.4978 x2
Os: 0.2695 0.5000 0.3681 x2

Summary:
Its total energy is -52.6 eV/cell. As for the total magnetization: 0.0 μB/cell. The value obtained for the density of states at the Fermi level is 5.82 states/eV/cell. The crystal system is monoclinic.



2.
Computed, not measured: a geometry-optimized KNi2Os structure at the PBE level of DFT.

Cell: 4.8338 4.8338 2.5990 Å, 90.00 90.00 90.00°
Space group P4/mmm (No. 123)
Symmetry-distinct sites (fractional):
K: 0.0000 0.0000 0.0000 x1
Ni: 0.0000 0.5000 0.5000 x2
Os: 0.5000 0.5000 0.0000 x1

Summary:
Its total energy is -20.3 eV/cell. As for the total magnetization: 1.3 μB/cell. The value obtained for the density of states at the Fermi level is 4.07 states/eV/cell. The crystal system is tetragonal.



3.
Computed, not measured: a geometry-optimized KNi2Os structure at the PBE level of DFT.

Cell: 2.5985 3.7660 7.4597 Å, 90.00 90.00 90.00°
Space group Pmm2 (No. 25)
Symmetry-distinct sites (fractional):
K: 0.0000 0.0000 0.0000 x1
Ni: 0.0000 0.0000 0.5051 x1
Ni: 0.5000 0.5000 0.3271 x1
Os: 0.5000 0.5000 0.6404 x1

Summary:
Its total energy is -21.0 eV/cell. As for the total magnetization: 0.0 μB/cell. The value obtained for the density of states at the Fermi level is 3.60 states/eV/cell. The crystal system is orthorhombic.



4.
Computed, not measured: a geometry-optimized KNi2Os structure at the PBE level of DFT.

Cell: 3.7911 3.7911 8.9573 Å, 90.00 90.00 90.00°
Space group I-4m2 (No. 119)
Symmetry-distinct sites (fractional):
K: 0.0000 0.0000 0.0000 x2
Ni: 0.0000 0.0000 0.5000 x2
Ni: 0.0000 0.5000 0.2500 x2
Os: 0.0000 0.5000 0.7500 x2

Summary:
Its total energy is -36.2 eV/cell. As for the total magnetization: 5.9 μB/cell. The value obtained for the density of states at the Fermi level is 6.81 states/eV/cell. The crystal system is tetragonal.



5.
Computed, not measured: a geometry-optimized KNiOs2 structure at the PBE level of DFT.

Cell: 5.1271 5.1271 2.5549 Å, 90.00 90.00 90.00°
Space group P4/mmm (No. 123)
Symmetry-distinct sites (fractional):
K: 0.0000 0.0000 0.0000 x1
Ni: 0.5000 0.5000 0.0000 x1
Os: 0.0000 0.5000 0.5000 x2

Summary:
Its total energy is -22.1 eV/cell. As for the total magnetization: 0.7 μB/cell. The value obtained for the density of states at the Fermi level is 7.56 states/eV/cell. The crystal system is tetragonal.



6.
Computed, not measured: a geometry-optimized KNiOs2 structure at the PBE level of DFT.

Cell: 6.3267 6.3267 6.3267 Å, 90.00 90.00 90.00°
Space group F-43m (No. 216)
Symmetry-distinct sites (fractional):
K: 0.0000 0.0000 0.0000 x4
Ni: 0.2500 0.2500 0.2500 x4
Os: 0.0000 0.0000 0.5000 x4
Os: 0.2500 0.2500 0.7500 x4

Summary:
Its total energy is -94.4 eV/cell. As for the total magnetization: 0.0 μB/cell. The value obtained for the density of states at the Fermi level is 16.47 states/eV/cell. The crystal system is cubic.



7.
Computed, not measured: a geometry-optimized KNiOs2 structure at the PBE level of DFT.

Cell: 2.5531 3.7966 7.9493 Å, 90.00 90.00 90.00°
Space group Pmmm (No. 47)
Symmetry-distinct sites (fractional):
K: 0.0000 0.0000 0.0000 x1
Ni: 0.0000 0.0000 0.5000 x1
Os: 0.5000 0.5000 0.3430 x2

Summary:
Its total energy is -25.4 eV/cell. As for the total magnetization: 0.0 μB/cell. The value obtained for the density of states at the Fermi level is 6.45 states/eV/cell. The crystal system is orthorhombic.



8.
Computed, not measured: a geometry-optimized KNi2Os structure at the PBE level of DFT.

Cell: 8.4663 2.6614 6.8125 Å, 90.00 96.25 90.00°
Space group Cm (No. 8)
Symmetry-distinct sites (fractional):
K: 0.0000 0.0000 0.0000 x2
Ni: 0.0094 0.5000 0.4916 x2
Ni: 0.2279 0.0000 0.6636 x2
Os: 0.2749 0.5000 0.3802 x2

Summary:
Its total energy is -42.0 eV/cell. As for the total magnetization: 0.7 μB/cell. The value obtained for the density of states at the Fermi level is 8.65 states/eV/cell. The crystal system is monoclinic.



9.
Computed, not measured: a geometry-optimized KNi2Os structure at the PBE level of DFT.

Cell: 2.5773 4.8317 10.2580 Å, 90.00 90.00 90.00°
Space group Imm2 (No. 44)
Symmetry-distinct sites (fractional):
K: 0.0000 0.0000 0.0000 x2
Ni: 0.0000 0.0000 0.4984 x2
Ni: 0.0000 0.5000 0.7814 x2
Os: 0.0000 0.5000 0.2094 x2

Summary:
Its total energy is -40.7 eV/cell. As for the total magnetization: 3.2 μB/cell. The value obtained for the density of states at the Fermi level is 8.12 states/eV/cell. The crystal system is orthorhombic.



10.
Computed, not measured: a geometry-optimized KNiOs2 structure at the PBE level of DFT.

Cell: 3.7097 3.7097 4.8932 Å, 90.00 90.00 90.00°
Space group P4/mmm (No. 123)
Symmetry-distinct sites (fractional):
K: 0.0000 0.0000 0.0000 x1
Ni: 0.5000 0.5000 0.0000 x1
Os: 0.0000 0.5000 0.5000 x2

Summary:
Its total energy is -23.1 eV/cell. As for the total magnetization: 0.0 μB/cell. The value obtained for the density of states at the Fermi level is 5.99 states/eV/cell. The crystal system is tetragonal.



11.
Computed, not measured: a geometry-optimized KNi2Os structure at the PBE level of DFT.

Cell: 6.3565 6.3565 6.3565 Å, 90.00 90.00 90.00°
Space group Fm-3m (No. 225)
Symmetry-distinct sites (fractional):
K: 0.0000 0.0000 0.0000 x4
Ni: 0.2500 0.2500 0.2500 x8
Os: 0.0000 0.0000 0.5000 x4

Summary:
Its total energy is -74.5 eV/cell. As for the total magnetization: 12.0 μB/cell. The value obtained for the density of states at the Fermi level is 15.24 states/eV/cell. The crystal system is cubic.



12.
Computed, not measured: a geometry-optimized KNi2Os structure at the PBE level of DFT.

Cell: 2.6927 2.6927 8.7800 Å, 90.00 90.00 90.00°
Space group P4mm (No. 99)
Symmetry-distinct sites (fractional):
K: 0.0000 0.0000 0.0000 x1
Ni: 0.0000 0.0000 0.4844 x1
Ni: 0.5000 0.5000 0.3068 x1
Os: 0.5000 0.5000 0.6764 x1

Summary:
Its total energy is -21.1 eV/cell. As for the total magnetization: 0.0 μB/cell. The value obtained for the density of states at the Fermi level is 3.14 states/eV/cell. The crystal system is tetragonal.



Question: Number 8 is which compound?
Answer: KNi2Os